No. 1
Density functional theory data (PBE) for crystalline Ho6Tl3Cu at its relaxed geometry.

## Properties
The calculation puts the formation energy at -0.198 eV per atom. Its total moment is 0.000 μB per atom. Its total energy is -4.0639 eV/atom.

abc: 9.051 11.615 5.219
angles: 90.00 90.00 90.00
Space group Pnnm (No. 58)
Inequivalent atoms, fractional coordinates:
Ho 0.007 0.236 0.000 x4
Ho 0.160 0.083 0.500 x4
Ho 0.176 0.413 0.500 x4
Tl 0.000 0.500 0.000 x2
Tl 0.161 0.748 0.500 x4
Cu 0.000 0.000 0.000 x2

No. 2
Density functional theory data (PBE) for crystalline Ho4TlCu at its relaxed geometry.

## Properties
The calculation puts the formation energy at -0.175 eV per atom. Its total moment is 0.000 μB per atom. The value obtained for the distance to the lowest polymorph of the same formula is 0 meV per atom. Its total energy is -4.3043 eV/atom.

abc: 5.359 7.025 8.598
angles: 90.00 99.61 90.00
Space group P2_1/m (No. 11)
Inequivalent atoms, fractional coordinates:
Ho 0.144 0.250 0.051 x2
Ho 0.214 0.750 0.371 x2
Ho 0.321 0.513 0.750 x4
Tl 0.229 0.250 0.421 x2
Cu 0.364 0.750 0.051 x2

No. 3
Density functional theory data (PBE) for crystalline Ho6Tl2Cu at its relaxed geometry.

## Properties
The calculation puts the formation energy at 0.006 eV per atom. Its total moment is 0.000 μB per atom. Its total energy is -4.0273 eV/atom.

abc: 5.061 7.196 15.000
angles: 90.00 90.00 90.00
Space group Immm (No. 71)
Inequivalent atoms, fractional coordinates:
Ho 0.000 0.230 0.000 x4
Ho 0.000 0.259 0.343 x8
Tl 0.000 0.500 0.168 x4
Cu 0.000 0.500 0.500 x2

No. 4
Density functional theory data (PBE) for crystalline Ho4Tl5Cu2 at its relaxed geometry.

## Properties
The calculation puts the formation energy at -0.262 eV per atom. Its total moment is 0.000 μB per atom. Its total energy is -3.7465 eV/atom.

abc: 7.888 3.651 9.557
angles: 90.00 93.30 90.00
Space group P2/m (No. 10)
Inequivalent atoms, fractional coordinates:
Ho 0.198 0.000 0.348 x2
Ho 0.214 0.000 0.926 x2
Tl 0.143 0.500 0.638 x2
Tl 0.452 0.500 0.162 x2
Tl 0.500 0.500 0.500 x1
Cu 0.072 0.500 0.124 x2